(1)
{"formula": "YZnRe", "functional": "PBE-GGA", "state": "relaxed", "dft_energy_ev_per_atom": -6.20, "dos_ef_per_ev_cell": 3.30, "mass_density_g_cm3": 10.20, "sg": "P3m1", "de_polymorph_ev_per_fu": 1.028, "volume_a3_per_cell": 55.4, "lattice_angstrom": [[2.9216, 0.0000, 0.0000], [-1.4608, 2.5302, 0.0000], [0.0000, 0.0000, 7.4971]], "species": ["Y", "Zn", "Re"], "frac_coords": [[0.0000, 0.0000, 0.0000], [0.6667, 0.3333, 0.3574], [0.3333, 0.6667, 0.6467]]}

***

(2)
{"formula": "TbGd2U", "functional": "PBE-GGA", "state": "relaxed", "dft_energy_ev_per_atom": -10.75, "dos_ef_per_ev_cell": 9.70, "mass_density_g_cm3": 10.19, "sg": "R-3m", "volume_a3_per_cell": 115.9, "lattice_angstrom": [[1.7030, 0.9832, 11.5362], [-1.7030, 0.9832, 11.5362], [0.0000, -1.9665, 11.5362]], "species": ["Tb", "Gd", "Gd", "U"], "frac_coords": [[0.0000, 0.0000, 0.0000], [0.2455, 0.2455, 0.2455], [0.7545, 0.7545, 0.7545], [0.5000, 0.5000, 0.5000]]}

***

(3)
{"formula": "TaInRh2", "functional": "PBE-GGA", "state": "relaxed", "dft_energy_ev_per_atom": -7.31, "dos_ef_per_ev_cell": 4.26, "mass_density_g_cm3": 12.24, "sg": "R3m", "volume_a3_per_cell": 68.1, "lattice_angstrom": [[1.4714, 0.8495, 9.0751], [-1.4714, 0.8495, 9.0751], [0.0000, -1.6990, 9.0751]], "species": ["Ta", "In", "Rh", "Rh"], "frac_coords": [[0.0000, 0.0000, 0.0000], [0.7610, 0.7610, 0.7610], [0.2570, 0.2570, 0.2570], [0.5065, 0.5065, 0.5065]]}

***

(4)
{"formula": "DyCuIr", "functional": "PBE-GGA", "state": "relaxed", "dft_energy_ev_per_atom": -6.16, "dos_ef_per_ev_cell": 2.10, "mass_density_g_cm3": 12.92, "sg": "I4mm", "de_polymorph_ev_per_fu": 0.821, "volume_a3_per_cell": 53.8, "lattice_angstrom": [[-1.7137, 1.7137, 4.5762], [1.7137, -1.7137, 4.5762], [1.7137, 1.7137, -4.5762]], "species": ["Dy", "Cu", "Ir"], "frac_coords": [[0.0000, 0.0000, 0.0000], [0.6920, 0.6920, 0.0000], [0.3217, 0.3217, 0.0000]]}

***

(5)
{"formula": "CsFe3Te", "functional": "PBE-GGA", "state": "relaxed", "dft_energy_ev_per_atom": -4.76, "dos_ef_per_ev_cell": 2.52, "mass_density_g_cm3": 5.72, "sg": "Pm-3m", "de_polymorph_ev_per_fu": 0.000, "volume_a3_per_cell": 124.2, "lattice_angstrom": [[4.9894, 0.0000, 0.0000], [0.0000, 4.9894, 0.0000], [0.0000, 0.0000, 4.9894]], "species": ["Cs", "Fe", "Fe", "Fe", "Te"], "frac_coords": [[0.0000, 0.0000, 0.0000], [0.0000, 0.5000, 0.5000], [0.5000, 0.0000, 0.5000], [0.5000, 0.5000, 0.0000], [0.5000, 0.5000, 0.5000]]}

***

(6)
{"formula": "NaSbIN2", "functional": "PBE-GGA", "state": "relaxed", "dft_energy_ev_per_atom": -2.94, "dos_ef_per_ev_cell": 3.14, "mass_density_g_cm3": 3.80, "sg": "P4/mmm", "de_polymorph_ev_per_fu": 5.352, "volume_a3_per_cell": 130.9, "lattice_angstrom": [[4.6684, 0.0000, 0.0000], [0.0000, 4.6684, 0.0000], [0.0000, 0.0000, 6.0082]], "species": ["Na", "Sb", "I", "N", "N"], "frac_coords": [[0.0000, 0.0000, 0.0000], [0.5000, 0.5000, 0.5000], [0.0000, 0.0000, 0.5000], [0.0000, 0.5000, 0.0000], [0.5000, 0.0000, 0.0000]]}

***

(7)
{"formula": "CrCoRh2", "functional": "PBE-GGA", "state": "relaxed", "dft_energy_ev_per_atom": -7.58, "dos_ef_per_ev_cell": 7.40, "mass_density_g_cm3": 9.78, "sg": "F-43m", "volume_a3_per_cell": 53.8, "lattice_angstrom": [[0.0000, 2.9956, 2.9956], [2.9956, 0.0000, 2.9956], [2.9956, 2.9956, 0.0000]], "species": ["Cr", "Co", "Rh", "Rh"], "frac_coords": [[0.0000, 0.0000, 0.0000], [0.7500, 0.7500, 0.7500], [0.2500, 0.2500, 0.2500], [0.5000, 0.5000, 0.5000]]}

***

(8)
{"formula": "In2Cu7Sn2Pt", "functional": "PBE-GGA", "state": "relaxed", "dft_energy_ev_per_atom": -3.95, "dos_ef_per_ev_cell": 5.17, "mass_density_g_cm3": 8.77, "sg": "C2/m", "volume_a3_per_cell": 209.5, "lattice_angstrom": [[2.5648, -2.5514, 0.0000], [2.5648, 2.5514, 0.0000], [-1.9786, 0.0000, 16.0096]], "species": ["In", "In", "Cu", "Cu", "Cu", "Cu", "Cu", "Cu", "Cu", "Sn", "Sn", "Pt"], "frac_coords": [[0.0947, 0.0947, 0.2535], [0.9053, 0.9053, 0.7465], [0.0000, 0.0000, 0.0000], [0.0458, 0.5447, 0.1211], [0.1927, 0.1927, 0.4556], [0.4553, 0.9542, 0.8789], [0.5447, 0.0458, 0.1211], [0.8073, 0.8073, 0.5444], [0.9542, 0.4553, 0.8789], [0.3462, 0.3462, 0.6204], [0.6538, 0.6538, 0.3796], [0.5000, 0.5000, 0.0000]]}

***

(9)
{"formula": "Tl2ZnP", "functional": "PBE-GGA", "state": "relaxed", "dft_energy_ev_per_atom": -2.78, "dos_ef_per_ev_cell": 1.14, "mass_density_g_cm3": 8.31, "sg": "Pm", "de_polymorph_ev_per_fu": 0.331, "volume_a3_per_cell": 100.9, "lattice_angstrom": [[4.5234, 0.0000, 0.0000], [0.0000, 3.9756, 0.0000], [-2.2570, 0.0000, 5.6099]], "species": ["Tl", "Tl", "Zn", "P"], "frac_coords": [[0.0000, 0.0000, 0.0000], [0.3093, 0.5000, 0.6197], [0.6037, 0.5000, 0.1900], [0.6993, 0.0000, 0.4104]]}

***

(10)
{"formula": "KSrTa", "functional": "PBE-GGA", "state": "relaxed", "dft_energy_ev_per_atom": -3.40, "dos_ef_per_ev_cell": 8.59, "mass_density_g_cm3": 4.46, "sg": "P4/nmm", "de_polymorph_ev_per_fu": 3.234, "volume_a3_per_cell": 229.3, "lattice_angstrom": [[4.0277, 0.0000, 0.0000], [0.0000, 4.0277, 0.0000], [0.0000, 0.0000, 14.1355]], "species": ["K", "K", "Sr", "Sr", "Ta", "Ta"], "frac_coords": [[0.2500, 0.2500, 0.2245], [0.7500, 0.7500, 0.7755], [0.2500, 0.7500, 0.5000], [0.7500, 0.2500, 0.5000], [0.2500, 0.2500, 0.9725], [0.7500, 0.7500, 0.0275]]}

***

(11)
{"formula": "Sr2Cu2Br7", "functional": "PBE-GGA", "state": "relaxed", "dft_energy_ev_per_atom": -3.35, "dos_ef_per_ev_cell": 7.56, "mass_density_g_cm3": 3.61, "sg": "C2/m", "volume_a3_per_cell": 396.7, "lattice_angstrom": [[4.7479, -6.2164, 0.0000], [4.7479, 6.2164, 0.0000], [-1.2830, 0.0000, 6.7204]], "species": ["Sr", "Sr", "Cu", "Cu", "Br", "Br", "Br", "Br", "Br", "Br", "Br"], "frac_coords": [[0.1951, 0.8049, 0.0000], [0.8049, 0.1951, 0.0000], [0.2659, 0.2659, 0.5904], [0.7341, 0.7341, 0.4096], [0.0830, 0.4216, 0.7689], [0.1094, 0.1094, 0.2624], [0.4216, 0.0830, 0.7689], [0.5000, 0.5000, 0.5000], [0.5784, 0.9170, 0.2311], [0.8906, 0.8906, 0.7376], [0.9170, 0.5784, 0.2311]]}

***

(12)
{"formula": "BaSr4Ca3", "functional": "PBE-GGA", "state": "relaxed", "dft_energy_ev_per_atom": -1.81, "dos_ef_per_ev_cell": 17.80, "mass_density_g_cm3": 2.49, "sg": "Pmmn", "volume_a3_per_cell": 811.4, "lattice_angstrom": [[8.3585, 0.0000, 0.0000], [0.0000, 11.6153, 0.0000], [0.0000, 0.0000, 8.3578]], "species": ["Ba", "Ba", "Sr", "Sr", "Sr", "Sr", "Sr", "Sr", "Sr", "Sr", "Ca", "Ca", "Ca", "Ca", "Ca", "Ca"], "frac_coords": [[0.2500, 0.2500, 0.2400], [0.7500, 0.7500, 0.7600], [0.0000, 0.0000, 0.5000], [0.0000, 0.5000, 0.5000], [0.2500, 0.7500, 0.2411], [0.2500, 0.7500, 0.7568], [0.5000, 0.0000, 0.5000], [0.5000, 0.5000, 0.5000], [0.7500, 0.2500, 0.2432], [0.7500, 0.2500, 0.7589], [0.0000, 0.0000, 0.0000], [0.0000, 0.5000, 0.0000], [0.2500, 0.2500, 0.7565], [0.5000, 0.0000, 0.0000], [0.5000, 0.5000, 0.0000], [0.7500, 0.7500, 0.2435]]}

***

(13)
{"formula": "BaNd2Eu", "functional": "PBE-GGA", "state": "relaxed", "dft_energy_ev_per_atom": -5.27, "dos_ef_per_ev_cell": 5.74, "mass_density_g_cm3": 5.83, "sg": "P4/mmm", "de_polymorph_ev_per_fu": 0.000, "volume_a3_per_cell": 164.5, "lattice_angstrom": [[3.8579, 0.0000, 0.0000], [0.0000, 3.8579, 0.0000], [0.0000, 0.0000, 11.0526]], "species": ["Ba", "Nd", "Nd", "Eu"], "frac_coords": [[0.0000, 0.0000, 0.0000], [0.5000, 0.5000, 0.2705], [0.5000, 0.5000, 0.7295], [0.0000, 0.0000, 0.5000]]}